1.
The following is a DFT calculation (GGA-PBE) of a relaxed structure of HoHfCuOs.

a = 4.712 Å, b = 4.712 Å, c = 4.712 Å
α = 60.00°, β = 60.00°, γ = 60.00°
Sites, in units of the cell vectors:
1 Ho 0.000 0.000 0.000
2 Os 0.750 0.750 0.750
3 Hf 0.500 0.500 0.500
4 Cu 0.250 0.250 0.250

Values from the calculation:
calculated density	13.41	g cm⁻³
space-group type	No. 216
M_tot	0.00	Bohr magnetons per cell
DFT formation energy	-1.23	eV/f.u.

***

2.
The following is a DFT calculation (GGA-PBE) of a relaxed structure of Li2PrPb4.

a = 6.078 Å, b = 6.078 Å, c = 7.575 Å
α = 113.65°, β = 113.65°, γ = 90.00°
Sites, in units of the cell vectors:
1 Pb 0.250 0.750 0.500
2 Pb 0.750 0.250 0.500
3 Pr 0.000 0.000 0.000
4 Pb 0.500 0.000 0.000
5 Li 0.364 0.364 0.727
6 Li 0.636 0.636 0.273
7 Pb 0.000 0.500 0.000

Values from the calculation:
calculated density	7.09	g cm⁻³
space-group type	No. 139
M_tot	0.00	Bohr magnetons per cell
DFT formation energy	0.35	eV/f.u.

***

3.
The following is a DFT calculation (GGA-PBE) of a relaxed structure of AlP2PbO.

a = 4.234 Å, b = 5.027 Å, c = 4.234 Å
α = 90.00°, β = 90.00°, γ = 90.00°
Sites, in units of the cell vectors:
1 P 0.500 0.000 0.000
2 P 0.000 0.000 0.500
3 O 0.000 0.000 0.000
4 Al 0.500 0.500 0.500
5 Pb 0.000 0.500 0.000

Values from the calculation:
formation energy without anion corrections	0.36	eV per atom
calculated density	5.75	g cm⁻³
space-group type	No. 123
M_tot	0.00	Bohr magnetons per cell

***

4.
The following is a DFT calculation (GGA-PBE) of a relaxed structure of Sr2SiTcS.

a = 5.972 Å, b = 4.346 Å, c = 5.972 Å
α = 90.00°, β = 90.00°, γ = 90.00°
Sites, in units of the cell vectors:
1 Tc 0.000 0.000 0.000
2 Sr 0.500 0.000 0.000
3 Si 0.500 0.500 0.500
4 Sr 0.000 0.000 0.500
5 S 0.000 0.500 0.000

Values from the calculation:
formation energy without anion corrections	0.18	eV per atom
calculated density	3.57	g cm⁻³
space-group type	No. 123
M_tot	1.91	Bohr magnetons per cell

***

5.
The following is a DFT calculation (GGA-PBE) of a relaxed structure of Rb3Ac3TiSe8.

a = 8.824 Å, b = 8.827 Å, c = 9.643 Å
α = 117.25°, β = 90.00°, γ = 119.99°
Sites, in units of the cell vectors:
1 Se 0.794 0.589 0.315
2 Ac 0.000 0.500 0.500
3 Se 0.206 0.411 0.685
4 Se 0.738 0.475 0.713
5 Se 0.774 0.979 0.685
6 Rb 0.500 0.500 0.000
7 Ti 0.000 0.000 0.500
8 Rb 0.000 0.000 0.000
9 Ac 0.500 0.000 0.500
10 Ac 0.500 0.500 0.500
11 Se 0.206 0.979 0.685
12 Rb 0.000 0.500 0.000
13 Se 0.226 0.021 0.315
14 Se 0.794 0.021 0.315
15 Se 0.262 0.525 0.287

Values from the calculation:
formation energy without anion corrections	-1.60	eV per atom
calculated density	4.86	g cm⁻³
space-group type	No. 166
M_tot	0.00	Bohr magnetons per cell

***

6.
The following is a DFT calculation (GGA-PBE) of a relaxed structure of LaV2Zn2.

a = 7.869 Å, b = 7.869 Å, c = 2.865 Å
α = 90.00°, β = 90.00°, γ = 90.00°
Sites, in units of the cell vectors:
1 V 0.398 0.898 0.000
2 V 0.602 0.102 0.000
3 Zn 0.682 0.818 0.500
4 V 0.102 0.398 0.000
5 V 0.898 0.602 0.000
6 Zn 0.318 0.182 0.500
7 La 0.500 0.500 0.000
8 Zn 0.182 0.682 0.500
9 Zn 0.818 0.318 0.500
10 La 0.000 0.000 0.000

Values from the calculation:
calculated density	6.96	g cm⁻³
space-group type	No. 127
M_tot	0.00	Bohr magnetons per cell
DFT formation energy	0.80	eV/f.u.

***

7.
The following is a DFT calculation (GGA-PBE) of a relaxed structure of KBeTl2Au.

a = 5.157 Å, b = 5.157 Å, c = 4.839 Å
α = 90.00°, β = 90.00°, γ = 90.00°
Sites, in units of the cell vectors:
1 K 0.500 0.500 0.500
2 Tl 0.500 0.000 0.000
3 Tl 0.000 0.500 0.000
4 Au 0.000 0.000 0.500
5 Be 0.000 0.000 0.000

Values from the calculation:
calculated density	8.44	g cm⁻³
space-group type	No. 123
M_tot	0.00	Bohr magnetons per cell
DFT formation energy	0.37	eV/f.u.

***

8.
The following is a DFT calculation (GGA-PBE) of a relaxed structure of Pa3ZnCo5.

a = 5.273 Å, b = 7.947 Å, c = 7.947 Å
α = 120.00°, β = 90.00°, γ = 90.00°
Sites, in units of the cell vectors:
1 Pa 0.750 0.356 0.000
2 Zn 0.000 0.000 0.000
3 Co 0.500 0.667 0.333
4 Co 0.000 0.667 0.333
5 Zn 0.500 0.000 0.000
6 Co 0.500 0.333 0.667
7 Co 0.000 0.333 0.667
8 Co 0.750 0.308 0.308
9 Co 0.250 0.692 0.692
10 Co 0.250 0.308 0.000
11 Pa 0.250 0.000 0.644
12 Co 0.750 0.000 0.692
13 Pa 0.750 0.000 0.356
14 Pa 0.250 0.356 0.356
15 Co 0.750 0.692 0.000
16 Pa 0.750 0.644 0.644
17 Pa 0.250 0.644 0.000
18 Co 0.250 0.000 0.308

Values from the calculation:
calculated density	12.13	g cm⁻³
space-group type	No. 193
M_tot	0.00	Bohr magnetons per cell
DFT formation energy	-2.29	eV/f.u.

***

9.
The following is a DFT calculation (GGA-PBE) of a relaxed structure of Sc2AlVTc.

a = 4.581 Å, b = 4.836 Å, c = 4.581 Å
α = 90.00°, β = 90.00°, γ = 90.00°
Sites, in units of the cell vectors:
1 Sc 0.000 0.000 0.500
2 Al 0.000 0.500 0.000
3 V 0.000 0.000 0.000
4 Tc 0.500 0.500 0.500
5 Sc 0.500 0.000 0.000

Values from the calculation:
calculated density	4.35	g cm⁻³
space-group type	No. 123
M_tot	2.85	Bohr magnetons per cell
DFT formation energy	4.60	eV/f.u.

***

10.
The following is a DFT calculation (GGA-PBE) of a relaxed structure of Pm3Pr6Sm2Pb.

a = 6.316 Å, b = 6.316 Å, c = 12.086 Å
α = 95.07°, β = 95.07°, γ = 120.18°
Sites, in units of the cell vectors:
1 Pr 0.407 0.083 0.247
2 Sm 0.335 0.665 0.000
3 Pm 0.170 0.830 0.500
4 Pm 0.500 0.500 0.500
5 Pr 0.759 0.759 0.249
6 Pr 0.917 0.593 0.753
7 Pb 0.000 0.000 0.000
8 Pr 0.083 0.407 0.247
9 Sm 0.665 0.335 0.000
10 Pr 0.593 0.917 0.753
11 Pr 0.241 0.241 0.751
12 Pm 0.830 0.170 0.500

Values from the calculation:
calculated density	7.24	g cm⁻³
space-group type	No. 12
M_tot	0.00	Bohr magnetons per cell
DFT formation energy	-0.65	eV/f.u.

***

11.
The following is a DFT calculation (GGA-PBE) of a relaxed structure of Nd7Y2Th2.

a = 8.816 Å, b = 6.087 Å, c = 8.816 Å
α = 63.92°, β = 97.80°, γ = 116.08°
Sites, in units of the cell vectors:
1 Nd 0.408 0.192 0.040
2 Nd 0.568 0.339 0.432
3 Nd 0.592 0.808 0.960
4 Nd 0.432 0.661 0.568
5 Nd 0.960 0.192 0.592
6 Th 0.216 0.500 0.216
7 Nd 0.040 0.808 0.408
8 Y 0.778 0.160 0.222
9 Nd 0.000 0.000 0.000
10 Th 0.784 0.500 0.784
11 Y 0.222 0.840 0.778

Values from the calculation:
calculated density	7.20	g cm⁻³
space-group type	No. 12
M_tot	0.00	Bohr magnetons per cell
DFT formation energy	1.98	eV/f.u.

***

12.
The following is a DFT calculation (GGA-PBE) of a relaxed structure of Er2LuTl.

a = 4.804 Å, b = 4.789 Å, c = 4.789 Å
α = 90.00°, β = 90.00°, γ = 90.00°
Sites, in units of the cell vectors:
1 Tl 0.500 0.000 0.000
2 Er 0.000 0.500 0.000
3 Er 0.000 0.000 0.500
4 Lu 0.500 0.500 0.500

Values from the calculation:
calculated density	10.76	g cm⁻³
space-group type	No. 123
M_tot	0.49	Bohr magnetons per cell
DFT formation energy	-0.64	eV/f.u.

***

The highest M_tot belongs to which entry? Sc2AlVTc